! PBE CsLaH2, relaxed; values from VASP
! space-group type	Amm2 (38)
! E above lowest polymorph	132	meV per atom
! energy	-25.4	eV for the cell shown
&SYSTEM
  ibrav = 0, nat = 8, ntyp = 3
/
ATOMIC_SPECIES
H 1.01 H.upf
Cs 132.91 Cs.upf
La 138.91 La.upf
CELL_PARAMETERS angstrom
-2.180 2.556 -1.962
-3.010 -1.457 1.445
0.848 9.196 11.036
ATOMIC_POSITIONS angstrom
H -1.021 4.512 7.012
H -1.220 2.354 4.422
H 0.059 0.643 0.771
H 0.709 7.681 9.217
Cs -1.768 9.515 10.501
Cs -0.687 5.646 4.260
La 0.194 2.099 2.519
La -0.887 5.968 8.759

***

! PBE CsLaH2, relaxed; values from VASP
! space-group type	Amm2 (38)
! E above lowest polymorph	90	meV per atom
! energy	-25.7	eV for the cell shown
&SYSTEM
  ibrav = 0, nat = 8, ntyp = 3
/
ATOMIC_SPECIES
H 1.01 H.upf
La 138.91 La.upf
Cs 132.91 Cs.upf
CELL_PARAMETERS angstrom
-5.123 -4.464 -2.208
2.462 -2.075 -1.517
0.673 -4.058 6.643
ATOMIC_POSITIONS angstrom
H -3.396 -5.589 2.132
H -2.502 -4.597 -1.948
H -0.070 -2.478 -0.900
H -0.965 -3.470 3.180
La -0.954 -5.541 1.855
La -2.521 -2.474 -0.708
Cs 0.185 -1.116 1.827
Cs 1.753 -4.183 4.389

***

! PBE CsLaH2, relaxed; values from VASP
! space-group type	Cm (8)
! E above lowest polymorph	88	meV per atom
! energy	-12.9	eV for the cell shown
&SYSTEM
  ibrav = 0, nat = 4, ntyp = 3
/
ATOMIC_SPECIES
H 1.01 H.upf
Cs 132.91 Cs.upf
La 138.91 La.upf
CELL_PARAMETERS angstrom
-3.093 1.682 -1.464
-2.730 -2.112 -1.622
-4.544 1.196 6.092
ATOMIC_POSITIONS angstrom
H -8.247 -0.155 2.822
H -7.039 0.054 0.516
Cs -4.033 0.393 -0.509
La -6.871 1.917 2.296

***

! PBE CsLaH2, relaxed; values from VASP
! space-group type	C2 (5)
! E above lowest polymorph	37	meV per atom
! energy	-26.2	eV for the cell shown
&SYSTEM
  ibrav = 0, nat = 8, ntyp = 3
/
ATOMIC_SPECIES
La 138.91 La.upf
Cs 132.91 Cs.upf
H 1.01 H.upf
CELL_PARAMETERS angstrom
-7.008 1.662 -1.256
0.547 -0.511 -3.731
-1.613 -6.352 0.633
ATOMIC_POSITIONS angstrom
La -0.766 -3.214 0.038
La 0.315 -0.294 -2.145
Cs -4.268 -2.385 -0.603
Cs -3.188 0.536 -2.785
H -7.150 -3.946 -0.799
H -1.922 -4.252 -1.931
H -6.070 -1.026 -2.982
H -1.389 -0.820 -0.382

***

! PBE CsLaH2, relaxed; values from VASP
! space-group type	P3m1 (156)
! E above lowest polymorph	111	meV per atom
! energy	-12.8	eV for the cell shown
&SYSTEM
  ibrav = 0, nat = 4, ntyp = 3
/
ATOMIC_SPECIES
Cs 132.91 Cs.upf
H 1.01 H.upf
La 138.91 La.upf
CELL_PARAMETERS angstrom
3.945 0.000 0.000
-1.973 3.417 0.000
0.000 0.000 7.555
ATOMIC_POSITIONS angstrom
Cs 1.973 1.139 6.407
H 0.000 2.278 0.432
H 0.000 0.000 3.892
La 0.000 2.278 2.656

***

! PBE Cs2LaH2, relaxed; values from VASP
! space-group type	Amm2 (38)
! E above lowest polymorph	159	meV per atom
! energy	-25.9	eV for the cell shown
&SYSTEM
  ibrav = 0, nat = 10, ntyp = 3
/
ATOMIC_SPECIES
Cs 132.91 Cs.upf
H 1.01 H.upf
La 138.91 La.upf
CELL_PARAMETERS angstrom
3.969 0.000 0.000
0.000 7.454 0.000
0.000 0.000 13.501
ATOMIC_POSITIONS angstrom
Cs 0.000 0.000 4.225
Cs 0.000 3.727 10.975
Cs 0.000 0.000 12.874
Cs 0.000 3.727 6.123
H 1.984 5.090 4.225
H 1.984 2.365 4.225
H 1.984 6.092 10.975
H 1.984 1.363 10.975
La 1.984 0.000 9.162
La 1.984 3.727 2.412

***

! PBE CsLaH3, relaxed; values from VASP
! space-group type	Pm-3m (221)
! energy	-17.1	eV for the cell shown
&SYSTEM
  ibrav = 0, nat = 5, ntyp = 3
/
ATOMIC_SPECIES
H 1.01 H.upf
La 138.91 La.upf
Cs 132.91 Cs.upf
CELL_PARAMETERS angstrom
-0.748 -0.728 -4.641
-3.673 -2.838 1.037
-2.928 3.747 -0.116
ATOMIC_POSITIONS angstrom
H -1.837 -1.419 0.518
H -0.374 -0.364 -2.320
H -1.464 1.873 -0.058
La 0.000 0.000 0.000
Cs -3.674 0.090 -1.860

***

! PBE CsLaH2, relaxed; values from VASP
! space-group type	C222 (21)
! E above lowest polymorph	146	meV per atom
! energy	-25.3	eV for the cell shown
&SYSTEM
  ibrav = 0, nat = 8, ntyp = 3
/
ATOMIC_SPECIES
Cs 132.91 Cs.upf
H 1.01 H.upf
La 138.91 La.upf
CELL_PARAMETERS angstrom
5.881 0.000 0.000
0.000 5.695 0.000
0.000 0.000 6.895
ATOMIC_POSITIONS angstrom
Cs 0.000 2.848 0.000
Cs 2.941 0.000 0.000
H 4.411 4.271 2.384
H 1.470 1.424 2.384
H 1.470 4.271 4.511
H 4.411 1.424 4.511
La 0.000 0.000 3.447
La 2.941 2.848 3.447

***

! PBE CsLaH2, relaxed; values from VASP
! space-group type	P-1 (2)
! E above lowest polymorph	92	meV per atom
! energy	-12.9	eV for the cell shown
&SYSTEM
  ibrav = 0, nat = 4, ntyp = 3
/
ATOMIC_SPECIES
H 1.01 H.upf
Cs 132.91 Cs.upf
La 138.91 La.upf
CELL_PARAMETERS angstrom
3.559 0.001 -0.002
1.763 3.867 0.011
1.757 0.510 7.221
ATOMIC_POSITIONS angstrom
H 3.541 2.095 5.315
H 3.539 2.282 1.914
Cs 0.000 0.000 0.000
La 1.760 2.188 3.616

***

! PBE CsLaH2, relaxed; values from VASP
! space-group type	Cm (8)
! E above lowest polymorph	16	meV per atom
! energy	-26.3	eV for the cell shown
&SYSTEM
  ibrav = 0, nat = 8, ntyp = 3
/
ATOMIC_SPECIES
H 1.01 H.upf
Cs 132.91 Cs.upf
La 138.91 La.upf
CELL_PARAMETERS angstrom
8.326 0.000 -0.246
0.000 3.915 0.000
-3.362 0.000 5.951
ATOMIC_POSITIONS angstrom
H 4.884 0.000 1.326
H 7.874 0.000 0.383
H 3.203 1.958 4.301
H 6.193 1.958 3.359
Cs 2.221 1.958 0.981
Cs 0.540 0.000 3.956
La 6.382 1.958 0.856
La 4.701 0.000 3.831

***

! PBE CsLa3H, relaxed; values from VASP
! space-group type	Pm-3m (221)
! E above lowest polymorph	0	meV per atom
! energy	-17.8	eV for the cell shown
&SYSTEM
  ibrav = 0, nat = 5, ntyp = 3
/
ATOMIC_SPECIES
La 138.91 La.upf
Cs 132.91 Cs.upf
H 1.01 H.upf
CELL_PARAMETERS angstrom
-3.921 -3.560 -1.213
0.953 -2.635 4.655
-3.638 3.147 2.527
ATOMIC_POSITIONS angstrom
La -1.961 -1.780 -0.606
La 0.477 -1.318 2.327
La -1.819 1.573 1.263
Cs -3.303 -1.524 2.984
H 0.000 0.000 0.000

***

! PBE CsLaH2, relaxed; values from VASP
! space-group type	I4mm (107)
! E above lowest polymorph	103	meV per atom
! energy	-25.6	eV for the cell shown
&SYSTEM
  ibrav = 0, nat = 8, ntyp = 3
/
ATOMIC_SPECIES
H 1.01 H.upf
Cs 132.91 Cs.upf
La 138.91 La.upf
CELL_PARAMETERS angstrom
3.655 0.000 0.000
0.000 3.655 0.000
0.000 0.000 15.564
ATOMIC_POSITIONS angstrom
H 0.000 0.000 13.170
H 1.828 1.828 5.388
H 0.000 0.000 7.390
H 1.828 1.828 15.172
Cs 0.000 0.000 0.949
Cs 1.828 1.828 8.731
La 0.000 0.000 5.116
La 1.828 1.828 12.898